NaH3Pd | PBE | relaxed

extended XYZ file:
```
10
Lattice="3.4087 0.0000 0.0000 -1.7044 2.9521 0.0000 0.0000 0.0000 8.8624" Properties=species:S:1:pos:R:3 pbc="T T T"
Na 0.0000 1.9680 2.2156
Na 1.7044 0.9840 6.6468
H 0.0000 0.0000 2.2156
H 0.0000 0.0000 6.6468
H 0.0000 1.9680 4.7525
H 0.0000 1.9680 8.5412
H 1.7044 0.9840 0.3212
H 1.7044 0.9840 4.1100
Pd 0.0000 0.0000 0.0000
Pd 0.0000 0.0000 4.4312
```

Computed properties:
Its distance to the lowest polymorph of the same formula is 0.3451 eV/atom. The value obtained for the spin magnetization is 0.00 μB per cell. Its space-group type is No. 194.